Here is an optimized crystal structure of TaCrBr2 from Alexandria. Energies are from PBE-GGA.

Unit cell a=4.7192 b=4.7192 c=3.3946 alpha=90.00 beta=90.00 gamma=90.00
With the nearest neighbours (Å) after each atom.
Atoms (fractional coordinates):
1 Ta 0.0000 0.0000 0.0000  8 Br 2.91
2 Cr 0.5000 0.5000 0.0000  8 Br 2.91
3 Br 0.0000 0.5000 0.5000  4 Cr 2.91, 4 Ta 2.91
4 Br 0.5000 0.0000 0.5000  4 Cr 2.91, 4 Ta 2.91

Calculated values
VASP energy in eV per atom: -5.44
Uncorrected formation energy in eV per atom: 0.766
Size of the total moment in μB per formula unit: 2.69

Here is an optimized crystal structure of CaPAu from Alexandria. Energies are from PBE-GGA.

Unit cell a=4.4629 b=4.6450 c=8.0750 alpha=101.26 beta=90.08 gamma=118.70
With the nearest neighbours (Å) after each atom.
Atoms (fractional coordinates):
1 Ca 0.0000 0.0000 0.0000  6 P 2.98-3.21, 1 Au 3.09
2 Ca 0.2485 0.4990 0.6520  3 P 2.82-2.94, 3 Au 2.91-3.03
3 P 0.3566 0.7119 0.1977  3 Au 2.37-2.43
4 P 0.6145 0.2305 0.7906  1 Au 2.47
5 Au 0.5243 0.0503 0.4774  2 P 2.37-2.47
6 Au 0.7549 0.5084 0.2409  2 P 2.43

Calculated values
VASP energy in eV per atom: -4.32
Formation energy from the elements in meV per atom: -753
Size of the total moment in μB per formula unit: 0.00

Q: Look up the size of the total moment of the second one.
A: 0.00 μB per formula unit